No. 1
The following is a DFT calculation (GGA-PBE) of a relaxed structure of BaBi2IrPb.

Geometry as CIF:
```
data_BaBi2IrPb
_chemical_formula_sum 'Ba1 Bi2 Ir1 Pb1'
_symmetry_space_group_name_H-M 'P 1'
_symmetry_Int_Tables_number 1
_symmetry_space_group_name_Hall 'P 1'
_cell_length_a 5.392
_cell_length_b 5.895
_cell_length_c 5.392
_cell_angle_alpha 90.00
_cell_angle_beta 90.00
_cell_angle_gamma 90.00
loop_
_atom_site_label
_atom_site_fract_x
_atom_site_fract_y
_atom_site_fract_z
_atom_site_occupancy
Ba1 0.000 0.500 0.000 1
Bi1 0.000 0.000 0.500 1
Bi2 0.500 0.000 0.000 1
Ir1 0.000 0.000 0.000 1
Pb1 0.500 0.500 0.500 1
```

Values from the calculation:
DFT total energy   -4.415 eV/atom
Magnetic moment   0.0 μB per formula unit
Mass density   9.3 g/cm³
Energy of formation from the pure elements   0.04 eV/atom
Crystal system   tetragonal


No. 2
The following is a DFT calculation (GGA-PBE) of a relaxed structure of BaBiIrPd2.

Geometry as CIF:
```
data_BaBiIrPd2
_chemical_formula_sum 'Ba1 Bi1 Ir1 Pd2'
_symmetry_space_group_name_H-M 'P 1'
_symmetry_Int_Tables_number 1
_symmetry_space_group_name_Hall 'P 1'
_cell_length_a 5.141
_cell_length_b 6.411
_cell_length_c 5.141
_cell_angle_alpha 90.00
_cell_angle_beta 90.00
_cell_angle_gamma 90.00
loop_
_atom_site_label
_atom_site_fract_x
_atom_site_fract_y
_atom_site_fract_z
_atom_site_occupancy
Pd1 0.500 0.000 0.000 1
Pd2 0.000 0.000 0.500 1
Ba1 0.000 0.000 0.000 1
Bi1 0.000 0.500 0.000 1
Ir1 0.500 0.500 0.500 1
```

Values from the calculation:
DFT total energy   -3.194 eV/atom
Magnetic moment   1.0 μB per formula unit
Mass density   7.4 g/cm³
Energy of formation from the pure elements   1.82 eV/atom
Crystal system   tetragonal